This record from Alexandria describes a relaxed structure of CsSiAs2O8. The functional is PBE-GGA.

Summary:
Total DFT energy (no corrections): -6.123 eV/atom
Magnetic moment: 1.07 μB per formula unit
E_form (uncorrected): -18.2 eV/f.u.
Calculated density: 3.7 g cm⁻³

a = 4.9493 Å, b = 4.9493 Å, c = 9.2786 Å
α = 90.00°, β = 90.00°, γ = 120.00°
With the nearest neighbours (Å) after each atom.
Positions (direct):
Cs  0.0000  0.0000  0.0000  6 O 3.17
Si  0.0000  0.0000  0.5000  6 O 1.79
As  0.6667  0.3333  0.3292  4 O 1.69-1.73
As  0.3333  0.6667  0.6708  4 O 1.69-1.73
O  0.3333  0.6667  0.8527  1 As 1.69
O  0.3076  0.2729  0.3865  1 As 1.73, 1 Si 1.79
O  0.7271  0.0347  0.3865  1 As 1.73, 1 Si 1.79
O  0.6667  0.3333  0.1473  1 As 1.69
O  0.2729  0.9653  0.6135  1 As 1.73, 1 Si 1.79
O  0.6924  0.7271  0.6135  1 As 1.73, 1 Si 1.79
O  0.0347  0.3076  0.6135  1 As 1.73, 1 Si 1.79
O  0.9653  0.6924  0.3865  1 As 1.73, 1 Si 1.79